Here is crystalline Pm2PtRh at its relaxed geometry from the Alexandria database. Energies are from GGA-PBEsol.

## Properties
ΔH_f (0 K): -3.303 eV/f.u.
Symmetry: Fm-3m, No. 225

abc: 6.9875 6.9875 6.9875
angles: 90.00 90.00 90.00
Closest atoms and distances in Å follow each position.
Positions (direct):
Pm1 0.2500 0.2500 0.2500  4 Rh 3.03, 4 Pt 3.03
Pm2 0.2500 0.2500 0.7500  4 Pt 3.03, 4 Rh 3.03
Pm3 0.2500 0.7500 0.2500  4 Pt 3.03, 4 Rh 3.03
Pm4 0.2500 0.7500 0.7500  4 Rh 3.03, 4 Pt 3.03
Pm5 0.7500 0.2500 0.2500  4 Pt 3.03, 4 Rh 3.03
Pm6 0.7500 0.2500 0.7500  4 Rh 3.03, 4 Pt 3.03
Pm7 0.7500 0.7500 0.2500  4 Rh 3.03, 4 Pt 3.03
Pm8 0.7500 0.7500 0.7500  4 Pt 3.03, 4 Rh 3.03
Pt1 0.0000 0.0000 0.0000  8 Pm 3.03
Pt2 0.0000 0.5000 0.5000  8 Pm 3.03
Pt3 0.5000 0.0000 0.5000  8 Pm 3.03
Pt4 0.5000 0.5000 0.0000  8 Pm 3.03
Rh1 0.0000 0.0000 0.5000  8 Pm 3.03
Rh2 0.0000 0.5000 0.0000  8 Pm 3.03
Rh3 0.5000 0.0000 0.0000  8 Pm 3.03
Rh4 0.5000 0.5000 0.5000  8 Pm 3.03


Here is crystalline In2Rh2Au at its relaxed geometry from the Alexandria database. Energies are from GGA-PBEsol.

## Properties
ΔH_f (0 K): -1.209 eV/f.u.
Symmetry: P4/mbm, No. 127

abc: 7.3719 7.3719 3.1523
angles: 90.00 90.00 90.00
Closest atoms and distances in Å follow each position.
Positions (direct):
In1 0.1630 0.3370 0.0000  6 Rh 2.62-2.72
In2 0.3370 0.8370 0.0000  6 Rh 2.62-2.72
In3 0.6630 0.1630 0.0000  6 Rh 2.62-2.72
In4 0.8370 0.6630 0.0000  6 Rh 2.62-2.72
Rh1 0.1359 0.6359 0.5000  6 In 2.62-2.72, 1 Rh 2.83, 2 Au 2.86
Rh2 0.3641 0.1359 0.5000  6 In 2.62-2.72, 1 Rh 2.83, 2 Au 2.86
Rh3 0.6359 0.8641 0.5000  6 In 2.62-2.72, 1 Rh 2.83, 2 Au 2.86
Rh4 0.8641 0.3641 0.5000  6 In 2.62-2.72, 1 Rh 2.83, 2 Au 2.86
Au1 0.0000 0.0000 0.5000  4 Rh 2.86, 2 Au 3.15, 8 In 3.18
Au2 0.5000 0.5000 0.5000  4 Rh 2.86, 2 Au 3.15, 8 In 3.18


Here is crystalline MgTiCrS4 at its relaxed geometry from the Alexandria database. Energies are from GGA-PBEsol.

## Properties
Formation energy without anion corrections: -7.75 eV per formula unit
Symmetry: Imma, No. 74

abc: 7.1974 7.1974 7.1974
angles: 121.11 119.22 89.72
Closest atoms and distances in Å follow each position.
Positions (direct):
Mg1 0.3767 0.1267 0.2500  4 S 2.41
Mg2 0.6233 0.8733 0.7500  4 S 2.41
Ti1 0.0000 0.0000 0.5000  6 S 2.45
Ti2 0.0000 0.5000 0.0000  6 S 2.45
Cr1 0.0000 0.5000 0.5000  6 S 2.40-2.41
Cr2 0.5000 0.5000 0.0000  6 S 2.40-2.41
S1 0.2171 0.7349 0.4822  1 Cr 2.40, 1 Mg 2.41, 2 Ti 2.45
S2 0.2393 0.2664 0.5271  1 Mg 2.41, 2 Cr 2.41, 1 Ti 2.45
S3 0.2393 0.7122 0.9729  1 Mg 2.41, 2 Cr 2.41, 1 Ti 2.45
S4 0.2473 0.2651 0.9822  1 Cr 2.40, 1 Mg 2.41, 2 Ti 2.45
S5 0.7527 0.7349 0.0178  1 Cr 2.40, 1 Mg 2.41, 2 Ti 2.45
S6 0.7607 0.2878 0.0271  1 Mg 2.41, 2 Cr 2.41, 1 Ti 2.45
S7 0.7607 0.7336 0.4729  1 Mg 2.41, 2 Cr 2.41, 1 Ti 2.45
S8 0.7829 0.2651 0.5178  1 Cr 2.40, 1 Mg 2.41, 2 Ti 2.45


| no. | Fermi-level density of states (states/eV/f.u.) |
| --- | --- |
| 1 | 1.7 |
| 2 | 2.1 |
| 3 | 4.0 |